[1]
Here is a geometry-optimized Be3VNi structure from the Alexandria database. Energies are from PBE.

Cell and atoms, written as POSCAR:
```
Be3VNi
1.0
4.092 0.000 0.000
0.000 4.092 0.000
0.000 0.000 4.092
Be V Ni
3 1 1
Direct
0.000 0.000 0.500 Be
0.000 0.500 0.000 Be
0.500 0.000 0.000 Be
0.000 0.000 0.000 V
0.500 0.500 0.500 Ni
```

Summary:
The calculation puts the density of states at the Fermi level at 5.572 states/eV/cell. For the total DFT energy (no corrections), the calculation gives -18.0 eV/cell. The magnetic moment comes out at 0.00 μB/cell. The energy relative to the elements comes out at 1.6114 eV per atom.

[2]
Here is a geometry-optimized TiAs2Ir structure from the Alexandria database. Energies are from PBE.

Cell and atoms, written as POSCAR:
```
TiAs2Ir
1.0
1.471 0.849 8.795
-1.471 0.849 8.795
0.000 -1.699 8.795
Ti As Ir
1 2 1
Direct
0.000 0.000 0.000 Ti
0.410 0.410 0.410 As
0.590 0.590 0.590 As
0.500 0.500 0.500 Ir
```

Summary:
The calculation puts the density of states at the Fermi level at 2.720 states/eV/cell. For the total DFT energy (no corrections), the calculation gives -26.8 eV/cell. The magnetic moment comes out at 0.00 μB/cell. The energy relative to the elements comes out at -0.1927 eV per atom.

[3]
Here is a geometry-optimized Hg2IrPb structure from the Alexandria database. Energies are from PBE.

Cell and atoms, written as POSCAR:
```
Hg2IrPb
1.0
-1.548 2.339 6.747
1.548 -2.339 6.747
1.548 2.339 -6.747
Hg Ir Pb
2 1 1
Direct
0.000 0.000 0.000 Hg
0.674 0.174 0.500 Hg
0.494 0.494 0.000 Ir
0.316 0.816 0.500 Pb
```

Summary:
The calculation puts the density of states at the Fermi level at 2.177 states/eV/cell. For the total DFT energy (no corrections), the calculation gives -12.3 eV/cell. The magnetic moment comes out at 0.00 μB/cell. The energy relative to the elements comes out at 0.2283 eV per atom.

[4]
Here is a geometry-optimized Ce2Ga6CoRu structure from the Alexandria database. Energies are from PBE.

Cell and atoms, written as POSCAR:
```
Ce2Ga6CoRu
1.0
0.000 4.652 4.652
4.652 0.000 4.652
4.652 4.652 0.000
Ce Ga Co Ru
2 6 1 1
Direct
0.250 0.250 0.250 Ce
0.750 0.750 0.750 Ce
0.243 0.243 0.757 Ga
0.243 0.757 0.243 Ga
0.243 0.757 0.757 Ga
0.757 0.243 0.243 Ga
0.757 0.243 0.757 Ga
0.757 0.757 0.243 Ga
0.000 0.000 0.000 Co
0.500 0.500 0.500 Ru
```

Summary:
The calculation puts the density of states at the Fermi level at 18.851 states/eV/cell. For the total DFT energy (no corrections), the calculation gives -50.2 eV/cell. The magnetic moment comes out at 3.08 μB/cell. The energy relative to the elements comes out at -0.3823 eV per atom.

[5]
Here is a geometry-optimized GaSn2Mo2 structure from the Alexandria database. Energies are from PBE.

Cell and atoms, written as POSCAR:
```
GaSn2Mo2
1.0
6.825 0.000 0.000
0.000 6.825 0.000
0.000 0.000 4.097
Ga Sn Mo
2 4 4
Direct
0.000 0.000 0.000 Ga
0.500 0.500 0.000 Ga
0.159 0.341 0.500 Sn
0.341 0.841 0.500 Sn
0.659 0.159 0.500 Sn
0.841 0.659 0.500 Sn
0.144 0.644 0.000 Mo
0.356 0.144 0.000 Mo
0.644 0.856 0.000 Mo
0.856 0.356 0.000 Mo
```

Summary:
The calculation puts the density of states at the Fermi level at 6.260 states/eV/cell. For the total DFT energy (no corrections), the calculation gives -63.9 eV/cell. The magnetic moment comes out at 0.00 μB/cell. The energy relative to the elements comes out at 0.1506 eV per atom.

[6]
Here is a geometry-optimized Be2FeBr structure from the Alexandria database. Energies are from PBE.

Cell and atoms, written as POSCAR:
```
Be2FeBr
1.0
3.245 0.000 0.000
0.000 1.560 5.618
0.000 -1.560 5.618
Be Fe Br
2 1 1
Direct
0.000 0.000 0.000 Be
0.500 0.134 0.134 Be
0.500 0.484 0.484 Fe
0.000 0.280 0.280 Br
```

Summary:
The calculation puts the density of states at the Fermi level at 1.284 states/eV/cell. For the total DFT energy (no corrections), the calculation gives -16.2 eV/cell. The magnetic moment comes out at 1.59 μB/cell. Its uncorrected formation energy is 339 meV per atom.

- Number 4 is which compound?
  Ce2Ga6CoRu